Record 1
Material: Cd2CSe2
Method: DFT, PBE
State: optimized geometry

Properties
As for the total magnetization: 1.57 μB/cell. The offset from the most stable computed form is 0 meV/atom. The raw total energy comes out at -2.645 eV per atom. The space group is P4/mbm, No. 127. The formation energy from raw total energies comes out at 4.8 eV/f.u.

Cell lengths 7.214, 7.214, 4.125 Å; angles 90.00, 90.00, 90.00 degrees
Sites, in units of the cell vectors:
Cd1 0.138 0.362 0.000
Cd2 0.362 0.862 0.000
Cd3 0.638 0.138 0.000
Cd4 0.862 0.638 0.000
C1 0.000 0.000 0.500
C2 0.500 0.500 0.500
Se1 0.195 0.695 0.500
Se2 0.305 0.195 0.500
Se3 0.695 0.805 0.500
Se4 0.805 0.305 0.500

---

Record 2
Material: Cd2CSe
Method: DFT, PBE
State: optimized geometry

Properties
As for the total magnetization: 0.00 μB/cell. The offset from the most stable computed form is 0 meV/atom. The raw total energy comes out at -2.818 eV per atom. The space group is I-42d, No. 122. The formation energy from raw total energies comes out at 3.3 eV/f.u.

Cell lengths 5.929, 5.929, 10.251 Å; angles 90.00, 90.00, 90.00 degrees
Sites, in units of the cell vectors:
Cd1 0.181 0.250 0.125
Cd2 0.250 0.681 0.375
Cd3 0.250 0.819 0.875
Cd4 0.319 0.250 0.625
Cd5 0.681 0.750 0.625
Cd6 0.750 0.181 0.875
Cd7 0.750 0.319 0.375
Cd8 0.819 0.750 0.125
C1 0.000 0.000 0.000
C2 0.000 0.500 0.250
C3 0.500 0.000 0.750
C4 0.500 0.500 0.500
Se1 0.000 0.000 0.500
Se2 0.000 0.500 0.750
Se3 0.500 0.000 0.250
Se4 0.500 0.500 0.000